! GGA-PBE K2C, optimized geometry; values from VASP
&SYSTEM
  ibrav = 0, nat = 6, ntyp = 2
/
ATOMIC_SPECIES
K 39.10 K.upf
C 12.01 C.upf
ATOMIC_POSITIONS angstrom
K 1.3209 3.9628 3.9628
K 3.9628 1.3209 3.9628
K 3.9628 3.9628 1.3209
K 1.3209 1.3209 1.3209
C 5.2837 5.2837 5.2837
C 7.9256 7.9256 7.9256
CELL_PARAMETERS angstrom
0.0000 5.2837 5.2837
5.2837 0.0000 5.2837
5.2837 5.2837 0.0000
! * SG: Fd-3m (227)
! * E above lowest polymorph: 786 meV per atom
! * energy of formation: 2152 meV/atom

***

! GGA-PBE K4C5, optimized geometry; values from VASP
&SYSTEM
  ibrav = 0, nat = 18, ntyp = 2
/
ATOMIC_SPECIES
K 39.10 K.upf
C 12.01 C.upf
ATOMIC_POSITIONS angstrom
K 0.0000 0.0000 0.0000
K 0.0000 0.0000 3.9759
K -1.8071 3.1299 1.9879
K 2.5571 4.4290 1.9879
K 3.6141 0.0000 1.9879
K -2.5571 4.4290 5.9638
K 1.8071 3.1299 5.9638
K 5.1141 0.0000 5.9638
C -3.2800 5.6812 1.9879
C 1.0841 1.8777 1.9879
C 6.5601 0.0000 1.9879
C -1.0841 1.8777 5.9638
C 3.2800 5.6812 5.9638
C 2.1682 0.0000 5.9638
C 4.3641 2.5196 0.0000
C 0.0000 5.0393 3.9759
C 0.0000 5.0393 0.0000
C 4.3641 2.5196 3.9759
CELL_PARAMETERS angstrom
8.7283 0.0000 0.0000
-4.3641 7.5589 0.0000
0.0000 0.0000 7.9517
! * SG: P6_3/mcm (193)
! * E above lowest polymorph: 1615 meV per atom
! * energy of formation: 2888 meV/atom

***

! GGA-PBE KC, optimized geometry; values from VASP
&SYSTEM
  ibrav = 0, nat = 16, ntyp = 2
/
ATOMIC_SPECIES
K 39.10 K.upf
C 12.01 C.upf
ATOMIC_POSITIONS angstrom
K -1.7220 1.1925 6.8442
K 0.8328 3.5048 5.3577
K 1.1023 -5.0961 5.1676
K 2.8425 2.5613 10.2704
K 0.1313 4.7404 8.8422
K -1.0417 -0.0377 3.3698
K 3.7923 -0.4982 8.2961
K 0.1736 -2.0421 7.1319
C 2.3929 6.2557 7.3886
C 0.6596 -2.5758 2.9365
C 1.1454 0.8161 7.4068
C -1.1424 -2.3336 9.9081
C -2.5681 -1.4276 5.7935
C 3.0346 -0.2095 11.3007
C 1.3650 1.8077 2.6714
C 1.2241 1.9918 7.8743
CELL_PARAMETERS angstrom
-4.1225 1.0640 1.9630
0.8446 -6.2025 5.1357
4.8057 6.2197 6.7213
! * SG: P2_12_12_1 (19)
! * E above lowest polymorph: 26 meV per atom
! * energy of formation: 270 meV/atom

***

! GGA-PBE KC, optimized geometry; values from VASP
&SYSTEM
  ibrav = 0, nat = 16, ntyp = 2
/
ATOMIC_SPECIES
K 39.10 K.upf
C 12.01 C.upf
ATOMIC_POSITIONS angstrom
K -5.5605 -3.9840 -7.5566
K -0.5975 -1.7634 -6.0485
K -4.0251 -2.5509 -4.1644
K -2.1329 -3.1964 -9.4407
K -2.0215 -2.3537 -0.4370
K -7.0109 -4.5861 -1.9532
K 3.3083 -2.2151 -7.6255
K 1.4061 -1.5662 -2.3211
C -1.4843 -1.3853 -3.2792
C 0.4810 -2.0557 -8.7595
C -6.6390 -3.6917 -4.8456
C -4.6738 -4.3621 -10.3259
C -4.1033 -5.5024 -9.7647
C -5.9324 -4.8784 -4.6641
C 0.6943 -3.3558 -8.3068
C -1.1348 -2.7318 -3.2063
CELL_PARAMETERS angstrom
-9.9524 -4.4530 -3.0243
3.7944 -1.2944 -10.5808
0.9200 -2.4868 0.6341
! * SG: I4/mmm (139)
! * E above lowest polymorph: 362 meV per atom
! * energy of formation: 606 meV/atom

***

! GGA-PBE K2C, optimized geometry; values from VASP
&SYSTEM
  ibrav = 0, nat = 3, ntyp = 2
/
ATOMIC_SPECIES
K 39.10 K.upf
C 12.01 C.upf
ATOMIC_POSITIONS angstrom
K -4.2445 3.1768 -1.5733
K -0.4784 2.5177 -2.0907
C -2.0740 2.7333 0.4056
CELL_PARAMETERS angstrom
2.8019 2.4989 -2.5131
-3.3768 -2.2711 -1.9622
-4.1479 5.4666 0.8112
! * SG: P-3m1 (164)
! * E above lowest polymorph: 39 meV per atom
! * energy of formation: 1405 meV/atom

***

! GGA-PBE K8C, optimized geometry; values from VASP
&SYSTEM
  ibrav = 0, nat = 9, ntyp = 2
/
ATOMIC_SPECIES
K 39.10 K.upf
C 12.01 C.upf
ATOMIC_POSITIONS angstrom
K -2.5595 -1.8233 -0.9943
K -0.5472 -0.1453 3.2471
K -1.2318 8.9038 6.0823
K -5.0912 7.4329 -0.5252
K -7.4270 3.7377 -6.9756
K -2.9596 1.0687 0.9813
K -0.6168 4.4588 3.0459
K -3.7193 1.8718 -3.4932
C 0.0000 0.0000 0.0000
CELL_PARAMETERS angstrom
-6.2021 -4.8609 -8.6721
3.0955 2.8922 10.9249
-4.9441 10.4704 -1.7967
! * SG: I4/mmm (139)
! * energy of formation: 558 meV/atom

***

! GGA-PBE KC, optimized geometry; values from VASP
&SYSTEM
  ibrav = 0, nat = 12, ntyp = 2
/
ATOMIC_SPECIES
K 39.10 K.upf
C 12.01 C.upf
ATOMIC_POSITIONS angstrom
K 15.5210 0.0000 2.3713
K 2.8693 0.0000 2.3713
K 6.3259 1.3836 2.3713
K 12.0644 1.3836 2.3713
K 9.1952 0.0000 0.0000
K 0.0000 1.3836 0.0000
C 13.6552 0.0000 0.0000
C 4.7351 0.0000 0.0000
C 4.4600 1.3836 0.0000
C 13.9303 1.3836 0.0000
C 0.0000 0.0000 2.3713
C 9.1952 1.3836 2.3713
CELL_PARAMETERS angstrom
18.3903 0.0000 0.0000
0.0000 2.7673 0.0000
0.0000 0.0000 4.7427
! * SG: Cmmm (65)
! * E above lowest polymorph: 961 meV per atom
! * energy of formation: 1205 meV/atom

***

! GGA-PBE KC, optimized geometry; values from VASP
&SYSTEM
  ibrav = 0, nat = 8, ntyp = 2
/
ATOMIC_SPECIES
K 39.10 K.upf
C 12.01 C.upf
ATOMIC_POSITIONS angstrom
K 2.8123 0.0000 2.3596
K 2.8123 2.1088 7.2365
K 0.0000 0.0000 4.7541
K 0.0000 2.1088 9.6311
C 3.4465 0.0000 9.2234
C 2.1781 0.0000 9.2234
C 3.4465 2.1088 4.3464
C 2.1781 2.1088 4.3464
CELL_PARAMETERS angstrom
5.6247 0.0000 0.0000
0.0000 4.2177 0.0000
0.0000 0.0000 9.7539
! * SG: Amm2 (38)
! * E above lowest polymorph: 108 meV per atom
! * energy of formation: 352 meV/atom

***

! GGA-PBE K2C, optimized geometry; values from VASP
&SYSTEM
  ibrav = 0, nat = 6, ntyp = 2
/
ATOMIC_SPECIES
K 39.10 K.upf
C 12.01 C.upf
ATOMIC_POSITIONS angstrom
K -6.0026 1.8669 0.5554
K -16.6658 -0.1093 1.6639
K -9.1320 1.8464 0.8678
K -13.5365 -0.0888 1.3514
C -7.7397 -0.0932 -1.1430
C 0.0000 0.0000 0.0000
CELL_PARAMETERS angstrom
-15.2735 -2.0489 -0.3470
-14.9288 1.8508 3.3623
14.8953 1.9616 -3.4467
! * SG: I4_1/amd (141)
! * E above lowest polymorph: 128 meV per atom
! * energy of formation: 1494 meV/atom

***

! GGA-PBE K4C, optimized geometry; values from VASP
&SYSTEM
  ibrav = 0, nat = 5, ntyp = 2
/
ATOMIC_SPECIES
K 39.10 K.upf
C 12.01 C.upf
ATOMIC_POSITIONS angstrom
K 5.8025 3.0279 0.0000
K 2.4211 0.3535 1.9955
K -0.3535 2.4211 1.9955
K 3.0279 5.0954 0.0000
C 0.0000 0.0000 0.0000
CELL_PARAMETERS angstrom
-5.4490 5.4490 1.9955
5.4490 -5.4490 1.9955
5.4490 5.4490 -1.9955
! * SG: I4/m (87)
! * E above lowest polymorph: 35 meV per atom
! * energy of formation: 895 meV/atom

***

! GGA-PBE KC, optimized geometry; values from VASP
&SYSTEM
  ibrav = 0, nat = 8, ntyp = 2
/
ATOMIC_SPECIES
K 39.10 K.upf
C 12.01 C.upf
ATOMIC_POSITIONS angstrom
K 1.4274 1.4274 0.0000
K 4.9143 2.0595 2.5297
K 2.0595 4.9143 2.5297
K 5.5464 5.5464 0.0000
C 3.0387 3.9351 0.0000
C 6.5256 6.5256 2.5297
C 0.4482 0.4482 2.5297
C 3.9351 3.0387 0.0000
CELL_PARAMETERS angstrom
6.9738 0.0000 0.0000
0.0000 6.9738 0.0000
0.0000 0.0000 5.0595
! * SG: P4_2/mnm (136)
! * E above lowest polymorph: 74 meV per atom
! * energy of formation: 318 meV/atom

***

! GGA-PBE KC, optimized geometry; values from VASP
&SYSTEM
  ibrav = 0, nat = 4, ntyp = 2
/
ATOMIC_SPECIES
K 39.10 K.upf
C 12.01 C.upf
ATOMIC_POSITIONS angstrom
K 6.1699 2.1315 3.6754
K 3.6913 3.6255 1.2685
C 6.1868 2.1487 0.6315
C 3.6744 3.6082 4.3124
CELL_PARAMETERS angstrom
4.9976 0.0000 0.0000
2.4544 4.3751 0.0000
2.4092 1.3818 4.9438
! * SG: P-1 (2)
! * E above lowest polymorph: 5 meV per atom
! * energy of formation: 249 meV/atom

***

| no. | total magnetization (Bohr magnetons per cell) |
| --- | --- |
| 1 | 5.2 |
| 2 | 28.0 |
| 3 | 0.0 |
| 4 | 0.0 |
| 5 | 2.1 |
| 6 | 1.8 |
| 7 | 2.3 |
| 8 | 0.0 |
| 9 | 4.3 |
| 10 | 1.7 |
| 11 | 0.0 |
| 12 | 0.0 |